Material: MgP2H16O10
Method: DFT, meta-GGA SCAN
State: single point on PBEsol structure

Total moment in μB per formula unit: 0.0
E_tot in eV per cell: -359.16

POSCAR file:
```
MgP2H16O10
1.0
7.145 0.000 0.000
0.000 7.145 0.000
0.000 0.000 10.283
H P O Mg
32 4 20 2
direct
0.500 0.615 0.255
0.115 0.000 0.755
0.500 0.385 0.255
0.183 0.295 0.058
0.817 0.705 0.058
0.385 0.500 0.745
0.500 0.158 0.674
0.615 0.500 0.745
0.158 0.500 0.326
0.658 0.000 0.174
0.500 0.842 0.674
0.295 0.183 0.942
0.205 0.317 0.558
0.817 0.295 0.058
0.342 0.000 0.174
0.317 0.795 0.442
0.000 0.342 0.826
0.842 0.500 0.326
0.705 0.183 0.942
0.795 0.683 0.558
0.000 0.115 0.245
0.885 0.000 0.755
0.000 0.885 0.245
0.295 0.817 0.942
0.705 0.817 0.942
0.183 0.705 0.058
0.795 0.317 0.558
0.317 0.205 0.442
0.683 0.205 0.442
0.000 0.658 0.826
0.683 0.795 0.442
0.205 0.683 0.558
0.500 0.000 0.758
0.000 0.500 0.242
0.500 0.000 0.258
0.000 0.500 0.742
0.000 0.000 0.300
0.819 0.500 0.662
0.795 0.205 0.500
0.500 0.500 0.800
0.000 0.319 0.162
0.181 0.500 0.662
0.500 0.181 0.338
0.205 0.205 0.500
0.795 0.795 0.500
0.319 0.000 0.838
0.705 0.295 0.000
0.205 0.795 0.500
0.295 0.705 0.000
0.295 0.295 0.000
0.500 0.500 0.200
0.000 0.000 0.700
0.705 0.705 0.000
0.000 0.681 0.162
0.681 0.000 0.838
0.500 0.819 0.338
0.500 0.500 0.000
0.000 0.000 0.500
```



Material: MgPHO2
Method: DFT, meta-GGA SCAN
State: single point on PBEsol structure

Total moment in μB per formula unit: 0.0
E_tot in eV per cell: -32.14

POSCAR file:
```
MgPHO2
1.0
2.888 0.000 0.000
0.000 3.993 0.000
0.000 0.000 3.993
Mg H O P
1 1 2 1
direct
0.500 0.500 0.500
0.000 0.000 0.000
0.000 0.500 0.000
0.000 0.000 0.500
0.500 0.000 0.000
```



Material: Mg3P2H44O30
Method: DFT, meta-GGA SCAN
State: single point on PBEsol structure

Total moment in μB per formula unit: 0.4
E_tot in eV per cell: -482.63

POSCAR file:
```
Mg3P2H44O30
1.0
6.913 -0.033 0.019
3.422 5.866 0.039
0.054 2.519 15.594
H P O Mg
44 2 30 3
direct
0.657 0.313 0.408
0.343 0.687 0.592
0.609 0.684 0.378
0.730 0.329 0.012
0.973 0.573 0.260
0.218 0.168 0.140
0.850 0.473 0.375
0.194 0.938 0.620
0.176 0.993 0.401
0.348 0.585 0.225
0.755 0.511 0.514
0.150 0.527 0.625
0.150 0.668 0.394
0.782 0.832 0.860
0.715 0.647 0.845
0.270 0.671 0.988
0.652 0.415 0.775
0.421 0.659 0.773
0.799 0.337 0.111
0.360 0.091 0.742
0.048 0.654 0.743
0.952 0.346 0.257
0.850 0.332 0.606
0.201 0.663 0.889
0.697 0.185 0.898
0.579 0.341 0.227
0.754 0.951 0.018
0.391 0.316 0.622
0.245 0.489 0.486
0.522 0.669 0.049
0.705 0.032 0.506
0.824 0.007 0.599
0.478 0.331 0.951
0.599 0.086 0.744
0.401 0.914 0.256
0.640 0.909 0.258
0.027 0.427 0.740
0.806 0.062 0.380
0.295 0.968 0.494
0.859 0.811 0.114
0.141 0.189 0.886
0.303 0.815 0.102
0.285 0.353 0.155
0.246 0.049 0.982
0.007 0.036 0.759
0.993 0.964 0.241
0.151 0.206 0.947
0.659 0.162 0.407
0.020 0.413 0.293
0.980 0.587 0.707
0.121 0.167 0.784
0.588 0.587 0.764
0.767 0.498 0.579
0.741 0.952 0.567
0.224 0.878 0.202
0.412 0.413 0.236
0.030 0.925 0.341
0.879 0.833 0.216
0.714 0.525 0.409
0.496 0.056 0.709
0.341 0.838 0.593
0.642 0.209 0.957
0.237 0.579 0.951
0.840 0.227 0.210
0.504 0.944 0.291
0.786 0.691 0.888
0.849 0.794 0.053
0.970 0.075 0.659
0.233 0.502 0.421
0.160 0.773 0.790
0.286 0.475 0.591
0.763 0.421 0.049
0.259 0.048 0.433
0.214 0.309 0.112
0.358 0.791 0.043
0.776 0.122 0.798
0.000 0.500 0.000
0.651 0.757 0.649
0.349 0.243 0.351
```



Material: MgP2H16O10
Method: DFT, meta-GGA SCAN
State: single point on PBEsol structure

Total moment in μB per formula unit: 0.0
E_tot in eV per cell: -718.36

POSCAR file:
```
MgP2H16O10
1.0
10.203 0.000 0.000
0.000 10.203 0.000
-5.102 -5.102 10.086
H O P Mg
64 40 8 4
direct
0.523 0.837 0.560
0.914 0.732 0.947
0.836 0.034 0.553
0.717 0.518 0.553
0.982 0.783 0.447
0.336 0.018 0.553
0.927 0.313 0.738
0.784 0.086 0.053
0.087 0.787 0.060
0.161 0.007 0.672
0.023 0.224 0.560
0.482 0.164 0.447
0.537 0.337 0.560
0.768 0.586 0.053
0.213 0.026 0.940
0.493 0.339 0.328
0.011 0.507 0.672
0.074 0.688 0.262
0.835 0.989 0.328
0.037 0.724 0.560
0.335 0.839 0.328
0.227 0.526 0.940
0.966 0.283 0.447
0.974 0.273 0.060
0.757 0.411 0.172
0.589 0.585 0.828
0.511 0.665 0.672
0.414 0.716 0.947
0.687 0.188 0.262
0.089 0.743 0.828
0.533 0.232 0.947
0.438 0.324 0.762
0.276 0.477 0.440
0.713 0.413 0.940
0.033 0.216 0.947
0.727 0.913 0.940
0.587 0.773 0.060
0.176 0.062 0.238
0.993 0.489 0.328
0.312 0.813 0.738
0.474 0.287 0.060
0.563 0.562 0.238
0.063 0.177 0.238
0.427 0.926 0.738
0.187 0.573 0.262
0.239 0.243 0.828
0.812 0.426 0.738
0.163 0.963 0.440
0.415 0.761 0.172
0.823 0.824 0.762
0.574 0.073 0.262
0.661 0.165 0.672
0.268 0.967 0.053
0.323 0.437 0.762
0.663 0.977 0.440
0.776 0.463 0.440
0.915 0.911 0.172
0.466 0.664 0.447
0.217 0.534 0.553
0.938 0.937 0.762
0.284 0.467 0.053
0.739 0.085 0.828
0.257 0.261 0.172
0.676 0.677 0.238
0.170 0.668 0.658
0.853 0.853 0.705
0.009 0.302 0.008
0.080 0.082 0.842
0.510 0.011 0.342
0.456 0.248 0.508
0.252 0.044 0.492
0.509 0.206 0.008
0.897 0.397 0.795
0.489 0.990 0.658
0.241 0.448 0.492
0.956 0.759 0.508
0.418 0.420 0.158
0.752 0.948 0.492
0.261 0.582 0.842
0.740 0.739 0.158
0.498 0.802 0.008
0.698 0.002 0.992
0.332 0.511 0.342
0.010 0.830 0.342
0.240 0.920 0.158
0.603 0.103 0.205
0.103 0.603 0.205
0.832 0.330 0.342
0.052 0.259 0.508
0.198 0.491 0.992
0.998 0.706 0.008
0.552 0.748 0.508
0.761 0.760 0.842
0.670 0.490 0.658
0.147 0.147 0.295
0.353 0.353 0.705
0.989 0.168 0.658
0.647 0.647 0.295
0.294 0.991 0.992
0.794 0.502 0.992
0.918 0.239 0.158
0.580 0.260 0.842
0.741 0.544 0.492
0.397 0.897 0.795
0.116 0.125 0.750
0.875 0.866 0.250
0.616 0.125 0.750
0.634 0.625 0.750
0.375 0.384 0.250
0.875 0.366 0.250
0.375 0.884 0.250
0.134 0.625 0.750
0.500 0.000 0.000
0.000 0.500 0.000
0.250 0.250 0.500
0.750 0.750 0.500
```